1.
This record from Alexandria describes crystalline CsHI at its relaxed geometry. The functional is PBE.

Structure (POSCAR):
```
CsHI
1.0
5.391 0.000 0.000
0.000 5.391 0.000
0.000 0.000 32.659
Cs I H
8 8 8
Direct
0.261 0.674 0.320
0.674 0.739 0.070
0.326 0.739 0.930
0.261 0.326 0.180
0.674 0.261 0.430
0.326 0.261 0.570
0.739 0.674 0.680
0.739 0.326 0.820
0.827 0.238 0.960
0.173 0.762 0.460
0.827 0.762 0.540
0.173 0.238 0.040
0.762 0.173 0.290
0.238 0.827 0.790
0.762 0.827 0.210
0.238 0.173 0.710
0.233 0.414 0.656
0.767 0.586 0.156
0.586 0.767 0.594
0.414 0.233 0.094
0.233 0.586 0.844
0.767 0.414 0.344
0.414 0.767 0.406
0.586 0.233 0.906
```

Computed properties:
Crystal system ... tetragonal
Energy above the lowest structure with this stoichiometry ... 61.51 kJ per mole of atoms

***

2.
This record from Alexandria describes crystalline NaLiLa2As at its relaxed geometry. The functional is PBE.

Structure (POSCAR):
```
NaLiLa2As
1.0
5.493 0.000 0.000
0.000 4.628 0.000
0.000 0.000 5.493
Li La As Na
1 2 1 1
Direct
0.000 0.000 0.000
0.000 0.000 0.500
0.500 0.000 0.000
0.500 0.500 0.500
0.000 0.500 0.000
```

Computed properties:
Crystal system ... tetragonal
Formation enthalpy at 0 K ... 0.12 eV/atom